# 1
Entry from Alexandria: Ca2AgAsRh after structural relaxation (PBE).

Values from the calculation:
ΔE_f in eV per formula unit: 0.47
Space group: P4/mmm, No. 123

The structure in CIF format:
```
data_Ca2AgAsRh
_chemical_formula_sum 'Ca2 Ag1 As1 Rh1'
_cell_length_a 5.525
_cell_length_b 4.790
_cell_length_c 5.525
_cell_angle_alpha 90.00
_cell_angle_beta 90.00
_cell_angle_gamma 90.00
_space_group_name_H-M_alt 'P 1'
_space_group_IT_number 1
loop_
_space_group_symop_operation_xyz
'x,y,z'
loop_
_atom_site_label
_atom_site_fract_x
_atom_site_fract_y
_atom_site_fract_z
_atom_site_occupancy
As1 0.000 0.000 0.000 1
Rh1 0.500 0.500 0.500 1
Ca1 0.000 0.000 0.500 1
Ca2 0.500 0.000 0.000 1
Ag1 0.000 0.500 0.000 1
```


# 2
Entry from Alexandria: CaAg2AsS4 after structural relaxation (PBE).

Values from the calculation:
ΔE_f (raw) in kJ per mole of atoms: -45.1
Space group: Imma, No. 74

The structure in CIF format:
```
data_CaAg2AsS4
_chemical_formula_sum 'Ca2 Ag4 As2 S8'
_cell_length_a 7.986
_cell_length_b 7.986
_cell_length_c 7.537
_cell_angle_alpha 118.18
_cell_angle_beta 118.18
_cell_angle_gamma 97.44
_space_group_name_H-M_alt 'P 1'
_space_group_IT_number 1
loop_
_space_group_symop_operation_xyz
'x,y,z'
loop_
_atom_site_label
_atom_site_fract_x
_atom_site_fract_y
_atom_site_fract_z
_atom_site_occupancy
Ca1 0.000 0.500 0.000 1
Ca2 0.000 0.500 0.500 1
Ag1 0.500 0.000 0.000 1
Ag2 0.500 0.000 0.500 1
Ag3 0.000 0.000 0.500 1
Ag4 0.500 0.500 0.000 1
As1 0.500 0.500 0.500 1
As2 0.000 0.000 0.000 1
S1 0.234 0.804 0.019 1
S2 0.696 0.266 0.481 1
S3 0.304 0.734 0.519 1
S4 0.766 0.196 0.981 1
S5 0.763 0.738 0.998 1
S6 0.762 0.737 0.502 1
S7 0.238 0.263 0.498 1
S8 0.237 0.262 0.002 1
```


no.,total energy (eV for the cell shown)
1,-18.39
2,-65.20